Material: BaCoN2O
Method: DFT, PBE with a Hubbard U
State: optimized geometry

```
data_BaCoN2O
_chemical_formula_sum 'Ba1 Co1 N2 O1'
_space_group_name_H-M_alt 'P 4/m m m'
_space_group_IT_number 123
_space_group_name_Hall '-P 4 2'
_cell_length_a 4.6749
_cell_length_b 4.6749
_cell_length_c 4.6009
_cell_angle_alpha 90.00
_cell_angle_beta 90.00
_cell_angle_gamma 90.00
loop_
_atom_site_label
_atom_site_type_symbol
_atom_site_fract_x
_atom_site_fract_y
_atom_site_fract_z
_atom_site_occupancy
Ba1 Ba 0.0000 0.0000 0.0000 1
Co1 Co 0.5000 0.5000 0.5000 1
N1 N 0.0000 0.5000 0.0000 1
O1 O 0.0000 0.0000 0.5000 1
```

## Properties
VASP energy: -3.83 eV per atom